# 1
CaMg2As | PBE-GGA | optimized geometry

```
8
Lattice="-4.3698 4.3698 2.8771 4.3698 -4.3698 2.8771 4.3698 4.3698 -2.8771" Properties=species:S:1:pos:R:3 pbc="T T T"
Ca 0.0000 0.0000 0.0000
Ca 0.0000 4.3698 1.4385
Mg 2.1849 -1.4788 2.1578
Mg 2.8910 2.1849 0.7193
Mg 2.1849 5.8487 -0.7193
Mg 1.4788 2.1849 3.5964
As 4.3698 0.0000 1.4385
As 0.0000 0.0000 2.8771
```

Calculated values
Formation energy   -0.338 eV/atom


# 2
Ca2MgAs | PBE-GGA | optimized geometry

```
4
Lattice="4.1401 0.0000 0.0000 0.0000 4.1401 0.0000 0.0000 0.0000 6.4372" Properties=species:S:1:pos:R:3 pbc="T T T"
Ca 0.0000 0.0000 0.0000
Ca 2.0701 2.0701 2.1424
Mg 0.0000 0.0000 3.5126
As 2.0701 2.0701 5.2618
```

Calculated values
Formation energy   -0.347 eV/atom


# 3
Ca2MgAs | PBE-GGA | optimized geometry

```
8
Lattice="-4.2044 4.2044 3.5834 4.2044 -4.2044 3.5834 4.2044 4.2044 -3.5834" Properties=species:S:1:pos:R:3 pbc="T T T"
Ca 6.3066 1.6612 -0.8958
Ca 1.6612 2.1022 0.8958
Ca -2.1022 2.5432 2.6875
Ca 2.5432 2.1022 4.4792
Mg 4.2044 0.0000 1.7917
Mg 0.0000 0.0000 3.5834
As 0.0000 0.0000 0.0000
As 0.0000 4.2044 1.7917
```

Calculated values
Formation energy   -0.339 eV/atom


# 4
CaMg2As | PBE-GGA | optimized geometry

```
4
Lattice="-2.0270 2.4667 4.8596 2.0270 -2.4667 4.8596 2.0270 2.4667 -4.8596" Properties=species:S:1:pos:R:3 pbc="T T T"
Ca 0.0000 0.0000 0.0000
Mg 2.0270 0.0000 2.7516
Mg 0.0000 0.0000 5.6248
As 0.0000 2.4667 2.5957
```

Calculated values
Formation energy   -0.305 eV/atom